Entry 1:
Below is a relaxed structure of CoNiRuW, with properties calculated at the PBE level.

Unit cell a=3.634 b=3.733 c=3.773 alpha=90.00 beta=90.00 gamma=90.00
Sites, in units of the cell vectors:
Co1 0.000 0.000 0.000
Ni1 0.500 0.500 0.000
Ru1 0.000 0.500 0.500
W1 0.500 0.000 0.500

## Properties
As for the offset from the most stable computed form: 0.000 eV per atom. Its space group is Pmmm. The value obtained for the final energy is -8.81 eV per atom. For the formation enthalpy at 0 K, the calculation gives -12 kJ/mol of formula units. The calculation puts the total magnetization at 0.74 Bohr magnetons per cell.

---

Entry 2:
Below is a relaxed structure of CoNiRuW, with properties calculated at the PBE level.

Unit cell a=4.196 b=4.196 c=4.196 alpha=60.00 beta=60.00 gamma=60.00
Sites, in units of the cell vectors:
Co1 0.000 0.000 0.000
Ni1 0.750 0.750 0.750
Ru1 0.500 0.500 0.500
W1 0.250 0.250 0.250

## Properties
As for the offset from the most stable computed form: 0.154 eV per atom. Its space group is F-43m. The value obtained for the final energy is -8.65 eV per atom. For the formation enthalpy at 0 K, the calculation gives 48 kJ/mol of formula units. The calculation puts the total magnetization at 0.78 Bohr magnetons per cell.

---

Entry 3:
Below is a relaxed structure of ZrCoNiRu, with properties calculated at the PBE level.

Unit cell a=4.334 b=4.334 c=4.334 alpha=60.00 beta=60.00 gamma=60.00
Sites, in units of the cell vectors:
Zr1 0.000 0.000 0.000
Co1 0.750 0.750 0.750
Ni1 0.250 0.250 0.250
Ru1 0.500 0.500 0.500

## Properties
Its space group is F-43m. The value obtained for the final energy is -7.75 eV per atom. For the formation enthalpy at 0 K, the calculation gives -29 kJ/mol of formula units. The calculation puts the total magnetization at 2.20 Bohr magnetons per cell.

---

Entry 4:
Below is a relaxed structure of CoNi2S4, with properties calculated at the PBE level.

Unit cell a=6.641 b=6.641 c=6.641 alpha=120.28 beta=119.71 gamma=90.01
Sites, in units of the cell vectors:
Co1 0.500 0.000 0.000
Co2 0.500 0.500 0.500
Ni1 0.000 0.000 0.000
Ni2 0.124 0.374 0.750
Ni3 0.500 0.000 0.500
Ni4 0.876 0.626 0.250
S1 0.261 0.245 0.484
S2 0.261 0.776 0.016
S3 0.264 0.243 0.021
S4 0.279 0.757 0.521
S5 0.721 0.243 0.479
S6 0.736 0.757 0.979
S7 0.739 0.224 0.984
S8 0.739 0.755 0.516

## Properties
The value obtained for the uncorrected formation energy is -2.945 eV/f.u. Its space group is Imma. The value obtained for the final energy is -5.45 eV per atom. The calculation puts the total magnetization at 0.00 Bohr magnetons per cell.

---

Entry 5:
Below is a relaxed structure of CoNi2S3, with properties calculated at the PBE level.

Unit cell a=3.559 b=3.559 c=8.634 alpha=90.00 beta=90.00 gamma=120.00
Sites, in units of the cell vectors:
Co1 0.000 0.000 0.000
Ni1 0.333 0.667 0.672
Ni2 0.667 0.333 0.331
S1 0.000 0.000 0.248
S2 0.333 0.667 0.924
S3 0.667 0.333 0.585

## Properties
The value obtained for the uncorrected formation energy is -1.989 eV/f.u. Its space group is P3m1. The value obtained for the final energy is -5.51 eV per atom. The calculation puts the total magnetization at 0.00 Bohr magnetons per cell.

---

Entry 6:
Below is a relaxed structure of CoNiS2, with properties calculated at the PBE level.

Unit cell a=6.070 b=6.070 c=6.070 alpha=34.08 beta=34.08 gamma=34.08
Sites, in units of the cell vectors:
Co1 0.000 0.000 0.000
Ni1 0.504 0.504 0.504
S1 0.125 0.125 0.125
S2 0.632 0.632 0.632

## Properties
The value obtained for the uncorrected formation energy is -1.345 eV/f.u. Its space group is R3m. The value obtained for the final energy is -5.62 eV per atom. The calculation puts the total magnetization at 0.00 Bohr magnetons per cell.

---

Entry 7:
Below is a relaxed structure of CoNiS2, with properties calculated at the PBE level.

Unit cell a=4.086 b=4.086 c=4.086 alpha=60.00 beta=60.00 gamma=60.00
Sites, in units of the cell vectors:
Co1 0.000 0.000 0.000
Ni1 0.500 0.500 0.500
S1 0.250 0.250 0.250
S2 0.750 0.750 0.750

## Properties
The value obtained for the uncorrected formation energy is 0.674 eV/f.u. Its space group is Fm-3m. The value obtained for the final energy is -5.12 eV per atom. The calculation puts the total magnetization at 0.00 Bohr magnetons per cell.

---

Entry 8:
Below is a relaxed structure of CoNiS3, with properties calculated at the PBE level.

Unit cell a=4.392 b=4.392 c=4.392 alpha=90.00 beta=90.00 gamma=90.00
Sites, in units of the cell vectors:
Co1 0.000 0.000 0.000
Ni1 0.500 0.500 0.500
S1 0.000 0.500 0.500
S2 0.500 0.000 0.500
S3 0.500 0.500 0.000

## Properties
As for the offset from the most stable computed form: 0.995 eV per atom. The value obtained for the uncorrected formation energy is 3.821 eV/f.u. Its space group is Pm-3m. The value obtained for the final energy is -4.29 eV per atom. The calculation puts the total magnetization at 3.08 Bohr magnetons per cell.

---

Entry 9:
Below is a relaxed structure of Co4NiS8, with properties calculated at the PBE level.

Unit cell a=6.607 b=6.607 c=6.607 alpha=60.00 beta=60.00 gamma=60.00
Sites, in units of the cell vectors:
Co1 0.379 0.379 0.379
Co2 0.379 0.379 0.864
Co3 0.379 0.864 0.379
Co4 0.864 0.379 0.379
Ni1 0.000 0.000 0.000
S1 0.134 0.134 0.134
S2 0.134 0.134 0.597
S3 0.134 0.597 0.134
S4 0.155 0.615 0.615
S5 0.597 0.134 0.134
S6 0.615 0.155 0.615
S7 0.615 0.615 0.155
S8 0.615 0.615 0.615

## Properties
The value obtained for the uncorrected formation energy is -4.882 eV/f.u. Its space group is F-43m. The value obtained for the final energy is -5.55 eV per atom. The calculation puts the total magnetization at 0.00 Bohr magnetons per cell.

---

Entry 10:
Below is a relaxed structure of CoNi5S8, with properties calculated at the PBE level.

Unit cell a=6.660 b=6.660 c=6.660 alpha=60.00 beta=60.00 gamma=60.00
Sites, in units of the cell vectors:
Co1 0.000 0.000 0.000
Ni1 0.375 0.375 0.375
Ni2 0.375 0.375 0.875
Ni3 0.375 0.875 0.375
Ni4 0.750 0.750 0.750
Ni5 0.875 0.375 0.375
S1 0.132 0.132 0.132
S2 0.132 0.132 0.605
S3 0.132 0.605 0.132
S4 0.150 0.617 0.617
S5 0.605 0.132 0.132
S6 0.617 0.150 0.617
S7 0.617 0.617 0.150
S8 0.617 0.617 0.617

## Properties
The value obtained for the uncorrected formation energy is -5.184 eV/f.u. Its space group is F-43m. The value obtained for the final energy is -5.30 eV per atom. The calculation puts the total magnetization at 0.00 Bohr magnetons per cell.

---

Entry 11:
Below is a relaxed structure of Co2Ni3S6, with properties calculated at the PBE level.

Unit cell a=3.609 b=3.609 c=15.205 alpha=90.00 beta=90.00 gamma=120.00
Sites, in units of the cell vectors:
Co1 0.000 0.000 0.000
Co2 0.333 0.667 0.404
Ni1 0.333 0.667 0.787
Ni2 0.667 0.333 0.213
Ni3 0.667 0.333 0.595
S1 0.333 0.667 0.261
S2 0.333 0.667 0.563
S3 0.333 0.667 0.931
S4 0.667 0.333 0.069
S5 0.667 0.333 0.435
S6 0.667 0.333 0.742

## Properties
The value obtained for the uncorrected formation energy is -3.262 eV/f.u. Its space group is P3m1. The value obtained for the final energy is -5.42 eV per atom. The calculation puts the total magnetization at 0.00 Bohr magnetons per cell.

---

Entry 12:
Below is a relaxed structure of CoNiS4, with properties calculated at the PBE level.

Unit cell a=5.570 b=5.546 c=5.541 alpha=90.00 beta=90.37 gamma=90.00
Sites, in units of the cell vectors:
Co1 0.000 0.000 0.000
Co2 0.000 0.500 0.500
Ni1 0.500 0.000 0.500
Ni2 0.500 0.500 0.000
S1 0.105 0.114 0.615
S2 0.105 0.386 0.115
S3 0.386 0.607 0.607
S4 0.386 0.893 0.107
S5 0.614 0.107 0.893
S6 0.614 0.393 0.393
S7 0.895 0.614 0.885
S8 0.895 0.886 0.385

## Properties
As for the offset from the most stable computed form: 0.000 eV per atom. The value obtained for the uncorrected formation energy is -1.745 eV/f.u. Its space group is P2_1/c. The value obtained for the final energy is -5.19 eV per atom. The calculation puts the total magnetization at 0.27 Bohr magnetons per cell.